Below is an optimized crystal structure of KCeTe4, with properties calculated at the PBE-GGA level.

Structure (POSCAR):
```
KCeTe4
1.0
8.167 0.000 0.000
0.000 8.167 0.000
0.000 0.000 11.557
K Ce Te
2 2 8
direct
0.000 0.500 0.000
0.500 0.000 0.000
0.000 0.500 0.500
0.500 0.000 0.500
0.000 0.316 0.272
0.000 0.316 0.728
0.000 0.684 0.272
0.000 0.684 0.728
0.316 0.000 0.272
0.316 0.000 0.728
0.684 0.000 0.272
0.684 0.000 0.728
```

Values from the calculation:
Its total energy is -3.636 eV/atom. The value obtained for the spin magnetization is 1.58 Bohr magnetons per cell. The calculation puts the density of states at the Fermi level at 15.9 states/eV/cell.

***

Below is an optimized crystal structure of KCe3Te4, with properties calculated at the PBE-GGA level.

Structure (POSCAR):
```
KCe3Te4
1.0
4.509 0.000 0.000
0.000 6.485 0.000
0.000 0.000 9.375
K Ce Te
1 3 4
direct
0.000 0.000 0.000
0.000 0.000 0.500
0.500 0.500 0.254
0.500 0.500 0.746
0.000 0.500 0.000
0.000 0.500 0.500
0.500 0.000 0.264
0.500 0.000 0.736
```

Values from the calculation:
Its total energy is -5.239 eV/atom. The value obtained for the spin magnetization is 3.62 Bohr magnetons per cell. The calculation puts the density of states at the Fermi level at 22.7 states/eV/cell.

***

Below is an optimized crystal structure of KCe4Te6, with properties calculated at the PBE-GGA level.

Structure (POSCAR):
```
KCe4Te6
1.0
2.288 -7.461 0.000
2.288 7.461 0.000
0.000 0.000 23.571
K Ce Te
2 8 12
direct
0.162 0.838 0.750
0.838 0.162 0.250
0.093 0.907 0.129
0.093 0.907 0.371
0.364 0.636 0.041
0.364 0.636 0.459
0.636 0.364 0.541
0.636 0.364 0.959
0.907 0.093 0.629
0.907 0.093 0.871
0.000 0.000 0.000
0.000 0.000 0.500
0.160 0.840 0.250
0.271 0.729 0.583
0.271 0.729 0.917
0.458 0.542 0.158
0.458 0.542 0.342
0.542 0.458 0.658
0.542 0.458 0.842
0.729 0.271 0.083
0.729 0.271 0.417
0.840 0.160 0.750
```

Values from the calculation:
Its total energy is -5.283 eV/atom. The value obtained for the spin magnetization is 9.09 Bohr magnetons per cell. The calculation puts the density of states at the Fermi level at 54.7 states/eV/cell.

***

Below is an optimized crystal structure of KCe2Te3, with properties calculated at the PBE-GGA level.

Structure (POSCAR):
```
KCe2Te3
1.0
4.541 0.000 0.000
-2.271 3.933 0.000
0.000 0.000 24.165
K Ce Te
2 4 6
direct
0.000 0.000 0.250
0.000 0.000 0.750
0.333 0.667 0.077
0.333 0.667 0.423
0.667 0.333 0.577
0.667 0.333 0.923
0.000 0.000 0.000
0.000 0.000 0.500
0.333 0.667 0.651
0.333 0.667 0.849
0.667 0.333 0.151
0.667 0.333 0.349
```

Values from the calculation:
Its total energy is -5.075 eV/atom. The value obtained for the spin magnetization is 4.70 Bohr magnetons per cell. The calculation puts the density of states at the Fermi level at 29.8 states/eV/cell.

***

Below is an optimized crystal structure of KCeTe4, with properties calculated at the PBE-GGA level.

Structure (POSCAR):
```
KCeTe4
1.0
6.929 0.000 0.000
0.000 6.929 0.000
0.000 0.000 8.992
K Ce Te
2 2 8
direct
0.250 0.250 0.000
0.750 0.750 0.000
0.250 0.250 0.500
0.750 0.750 0.500
0.104 0.604 0.288
0.104 0.896 0.712
0.396 0.604 0.712
0.396 0.896 0.288
0.604 0.104 0.712
0.604 0.396 0.288
0.896 0.104 0.288
0.896 0.396 0.712
```

Values from the calculation:
Its total energy is -4.187 eV/atom. The value obtained for the spin magnetization is 2.06 Bohr magnetons per cell. The calculation puts the density of states at the Fermi level at 13.4 states/eV/cell.

***

Below is an optimized crystal structure of K4Ce3Te8, with properties calculated at the PBE-GGA level.

Structure (POSCAR):
```
K4Ce3Te8
1.0
4.643 2.681 8.812
-4.643 2.681 8.812
0.000 -5.362 8.812
K Ce Te
4 3 8
direct
0.000 0.000 0.000
0.142 0.142 0.142
0.500 0.500 0.500
0.858 0.858 0.858
0.000 0.500 0.500
0.500 0.000 0.500
0.500 0.500 0.000
0.249 0.249 0.700
0.249 0.700 0.249
0.272 0.272 0.272
0.300 0.751 0.751
0.700 0.249 0.249
0.728 0.728 0.728
0.751 0.300 0.751
0.751 0.751 0.300
```

Values from the calculation:
Its total energy is -4.297 eV/atom. The value obtained for the spin magnetization is 0.40 Bohr magnetons per cell.

***

Below is an optimized crystal structure of K2CeTh2Te6, with properties calculated at the PBE-GGA level.

Structure (POSCAR):
```
K2CeTh2Te6
1.0
3.916 -6.809 0.000
3.916 6.809 0.000
-2.595 0.000 8.479
K Ce Th Te
2 1 2 6
direct
0.165 0.835 0.000
0.835 0.165 0.000
0.000 0.000 0.500
0.333 0.667 0.500
0.667 0.333 0.500
0.072 0.409 0.714
0.270 0.270 0.286
0.409 0.072 0.714
0.591 0.928 0.286
0.730 0.730 0.714
0.928 0.591 0.286
```

Values from the calculation:
Its total energy is -5.047 eV/atom. The value obtained for the spin magnetization is 1.74 Bohr magnetons per cell. The calculation puts the density of states at the Fermi level at 12.7 states/eV/cell.

***

Below is an optimized crystal structure of K3CeTh3Te8, with properties calculated at the PBE-GGA level.

Structure (POSCAR):
```
K3CeTh3Te8
1.0
4.501 2.599 8.488
-4.501 2.599 8.488
0.000 -5.198 8.488
K Ce Th Te
3 1 3 8
direct
0.000 0.500 0.500
0.500 0.000 0.500
0.500 0.500 0.000
0.500 0.500 0.500
0.000 0.000 0.500
0.000 0.500 0.000
0.500 0.000 0.000
0.232 0.742 0.742
0.240 0.240 0.240
0.258 0.258 0.768
0.258 0.768 0.258
0.742 0.232 0.742
0.742 0.742 0.232
0.760 0.760 0.760
0.768 0.258 0.258
```

Values from the calculation:
Its total energy is -4.998 eV/atom. The value obtained for the spin magnetization is 1.60 Bohr magnetons per cell. The calculation puts the density of states at the Fermi level at 15.4 states/eV/cell.

***

Below is an optimized crystal structure of K3CeTh2Te6, with properties calculated at the PBE-GGA level.

Structure (POSCAR):
```
K3CeTh2Te6
1.0
3.926 -6.800 0.000
3.926 6.800 0.000
-2.618 0.000 8.410
K Ce Th Te
3 1 2 6
direct
0.000 0.000 0.000
0.334 0.666 0.000
0.666 0.334 0.000
0.500 0.500 0.500
0.167 0.833 0.500
0.833 0.167 0.500
0.089 0.427 0.281
0.235 0.235 0.719
0.427 0.089 0.281
0.573 0.911 0.719
0.765 0.765 0.281
0.911 0.573 0.719
```

Values from the calculation:
Its total energy is -4.807 eV/atom. The value obtained for the spin magnetization is 1.94 Bohr magnetons per cell. The calculation puts the density of states at the Fermi level at 14.2 states/eV/cell.

***

Below is an optimized crystal structure of K4Ce3ThTe8, with properties calculated at the PBE-GGA level.

Structure (POSCAR):
```
K4Ce3ThTe8
1.0
4.626 2.671 8.274
-4.626 2.671 8.274
0.000 -5.342 8.274
K Ce Th Te
4 3 1 8
direct
0.000 0.000 0.000
0.000 0.500 0.500
0.500 0.000 0.500
0.500 0.500 0.000
0.000 0.000 0.500
0.000 0.500 0.000
0.500 0.000 0.000
0.500 0.500 0.500
0.239 0.239 0.239
0.244 0.736 0.736
0.264 0.264 0.756
0.264 0.756 0.264
0.736 0.244 0.736
0.736 0.736 0.244
0.756 0.264 0.264
0.761 0.761 0.761
```

Values from the calculation:
Its total energy is -4.728 eV/atom. The value obtained for the spin magnetization is 3.96 Bohr magnetons per cell. The calculation puts the density of states at the Fermi level at 26.6 states/eV/cell.

***

Below is an optimized crystal structure of K4Ce3TiTe8, with properties calculated at the PBE-GGA level.

Structure (POSCAR):
```
K4Ce3TiTe8
1.0
4.523 2.611 8.242
-4.523 2.611 8.242
0.000 -5.223 8.242
K Ce Ti Te
4 3 1 8
direct
0.000 0.000 0.000
0.000 0.500 0.500
0.500 0.000 0.500
0.500 0.500 0.000
0.000 0.000 0.500
0.000 0.500 0.000
0.500 0.000 0.000
0.500 0.500 0.500
0.239 0.239 0.239
0.255 0.724 0.724
0.276 0.276 0.745
0.276 0.745 0.276
0.724 0.255 0.724
0.724 0.724 0.255
0.745 0.276 0.276
0.761 0.761 0.761
```

Values from the calculation:
Its total energy is -4.644 eV/atom. The value obtained for the spin magnetization is 4.00 Bohr magnetons per cell. The calculation puts the density of states at the Fermi level at 25.5 states/eV/cell.

***

Below is an optimized crystal structure of K3Ce3TiTe8, with properties calculated at the PBE-GGA level.

Structure (POSCAR):
```
K3Ce3TiTe8
1.0
7.746 -4.452 0.000
7.746 4.452 0.000
-5.230 0.000 8.324
K Ce Ti Te
3 3 1 8
direct
0.000 0.000 0.000
0.000 0.500 0.000
0.500 0.000 0.000
0.000 0.000 0.500
0.000 0.500 0.500
0.500 0.000 0.500
0.500 0.500 0.500
0.241 0.241 0.716
0.260 0.720 0.700
0.275 0.275 0.295
0.280 0.740 0.300
0.720 0.260 0.700
0.725 0.725 0.705
0.740 0.280 0.300
0.759 0.759 0.284
```

Values from the calculation:
Its total energy is -4.767 eV/atom. The value obtained for the spin magnetization is 1.04 Bohr magnetons per cell. The calculation puts the density of states at the Fermi level at 19.8 states/eV/cell.

***

Below is an optimized crystal structure of K4Ce3TmTe8, with properties calculated at the PBE-GGA level.

Structure (POSCAR):
```
K4Ce3TmTe8
1.0
4.610 2.662 8.222
-4.610 2.662 8.222
0.000 -5.324 8.222
K Ce Tm Te
4 3 1 8
direct
0.000 0.000 0.000
0.000 0.500 0.500
0.500 0.000 0.500
0.500 0.500 0.000
0.000 0.000 0.500
0.000 0.500 0.000
0.500 0.000 0.000
0.500 0.500 0.500
0.239 0.239 0.239
0.247 0.732 0.732
0.268 0.268 0.753
0.268 0.753 0.268
0.732 0.247 0.732
0.732 0.732 0.247
0.753 0.268 0.268
0.761 0.761 0.761
```

Values from the calculation:
Its total energy is -4.585 eV/atom. The value obtained for the spin magnetization is 3.01 Bohr magnetons per cell. The calculation puts the density of states at the Fermi level at 19.5 states/eV/cell.

***

Below is an optimized crystal structure of KCe2TmTe4, with properties calculated at the PBE-GGA level.

Structure (POSCAR):
```
KCe2TmTe4
1.0
7.883 0.000 0.000
0.000 4.472 0.000
-2.516 0.000 7.488
K Ce Tm Te
1 2 1 4
direct
0.000 0.000 0.000
0.500 0.000 0.500
0.500 0.500 0.000
0.000 0.500 0.500
0.241 0.000 0.734
0.253 0.500 0.267
0.747 0.500 0.733
0.759 0.000 0.266
```

Values from the calculation:
Its total energy is -5.016 eV/atom. The value obtained for the spin magnetization is 2.63 Bohr magnetons per cell. The calculation puts the density of states at the Fermi level at 16.3 states/eV/cell.

***

Below is an optimized crystal structure of K3CeTm2Te6, with properties calculated at the PBE-GGA level.

Structure (POSCAR):
```
K3CeTm2Te6
1.0
3.919 -6.789 0.000
3.919 6.789 0.000
-2.619 0.000 8.237
K Ce Tm Te
3 1 2 6
direct
0.000 0.000 0.000
0.336 0.664 0.000
0.664 0.336 0.000
0.500 0.500 0.500
0.167 0.833 0.500
0.833 0.167 0.500
0.086 0.430 0.291
0.224 0.224 0.708
0.430 0.086 0.291
0.570 0.914 0.709
0.776 0.776 0.292
0.914 0.570 0.709
```

Values from the calculation:
Its total energy is -4.441 eV/atom. The value obtained for the spin magnetization is 1.01 Bohr magnetons per cell. The calculation puts the density of states at the Fermi level at 8.5 states/eV/cell.

***

Below is an optimized crystal structure of K4CeTm3Te8, with properties calculated at the PBE-GGA level.

Structure (POSCAR):
```
K4CeTm3Te8
1.0
4.509 2.603 8.238
-4.509 2.603 8.238
0.000 -5.206 8.238
K Ce Tm Te
4 1 3 8
direct
0.000 0.000 0.000
0.000 0.500 0.500
0.500 0.000 0.500
0.500 0.500 0.000
0.500 0.500 0.500
0.000 0.000 0.500
0.000 0.500 0.000
0.500 0.000 0.000
0.226 0.741 0.741
0.235 0.235 0.235
0.259 0.259 0.774
0.259 0.774 0.259
0.741 0.226 0.741
0.741 0.741 0.226
0.765 0.765 0.765
0.774 0.259 0.259
```

Values from the calculation:
Its total energy is -4.412 eV/atom. The value obtained for the spin magnetization is 1.02 Bohr magnetons per cell. The calculation puts the density of states at the Fermi level at 8.5 states/eV/cell.

***

Below is an optimized crystal structure of K3Ce3UTe8, with properties calculated at the PBE-GGA level.

Structure (POSCAR):
```
K3Ce3UTe8
1.0
4.598 2.655 8.321
-4.598 2.655 8.321
0.000 -5.309 8.321
K Ce U Te
3 3 1 8
direct
0.000 0.500 0.500
0.500 0.000 0.500
0.500 0.500 0.000
0.000 0.000 0.500
0.000 0.500 0.000
0.500 0.000 0.000
0.500 0.500 0.500
0.238 0.238 0.238
0.241 0.733 0.733
0.267 0.267 0.759
0.267 0.759 0.267
0.733 0.241 0.733
0.733 0.733 0.241
0.759 0.267 0.267
0.762 0.762 0.762
```

Values from the calculation:
Its total energy is -5.030 eV/atom. The value obtained for the spin magnetization is 0.12 Bohr magnetons per cell. The calculation puts the density of states at the Fermi level at 27.2 states/eV/cell.

***

Below is an optimized crystal structure of K2CeUTe4, with properties calculated at the PBE-GGA level.

Structure (POSCAR):
```
K2CeUTe4
1.0
7.938 0.000 0.000
0.000 4.577 0.000
-2.641 0.000 8.272
K Ce U Te
2 1 1 4
direct
0.000 0.000 0.000
0.500 0.500 0.000
0.000 0.500 0.500
0.500 0.000 0.500
0.243 0.000 0.714
0.268 0.500 0.288
0.732 0.500 0.712
0.757 0.000 0.286
```

Values from the calculation:
Its total energy is -5.090 eV/atom. The value obtained for the spin magnetization is 4.00 Bohr magnetons per cell. The calculation puts the density of states at the Fermi level at 15.8 states/eV/cell.

***

Below is an optimized crystal structure of K3CeU2Te6, with properties calculated at the PBE-GGA level.

Structure (POSCAR):
```
K3CeU2Te6
1.0
3.942 -6.828 0.000
3.942 6.828 0.000
-2.629 0.000 8.297
K Ce U Te
3 1 2 6
direct
0.000 0.000 0.000
0.335 0.665 0.000
0.665 0.335 0.000
0.500 0.500 0.500
0.167 0.833 0.500
0.833 0.167 0.500
0.090 0.429 0.287
0.231 0.231 0.712
0.429 0.090 0.287
0.571 0.910 0.713
0.769 0.769 0.288
0.910 0.571 0.713
```

Values from the calculation:
Its total energy is -5.232 eV/atom. The value obtained for the spin magnetization is 7.00 Bohr magnetons per cell. The calculation puts the density of states at the Fermi level at 21.1 states/eV/cell.